No. 1
Below is Y2MgMo at its PBEsol-relaxed geometry, with properties calculated at the SCAN level.

## Properties
Its size of the total moment is 0.00 μB per cell. As for the space-group type: No. 99. The volume comes out at 23.1 Å³/atom. Its formation energy is 0.411 eV per atom. The value obtained for the energy is -0.863 hartree per atom.

a b c (Å): 3.0880 3.0880 9.6774
angles (deg): 90.00 90.00 90.00
Element x y z (fractional)
Y  0.0000  0.0000  0.0000
Y  0.5000  0.5000  0.3090
Mg  0.0000  0.0000  0.5736
Mo  0.5000  0.5000  0.7746

---

No. 2
Below is Y2MgMo at its PBEsol-relaxed geometry, with properties calculated at the SCAN level.

## Properties
Its size of the total moment is 0.00 μB per cell. As for the space-group type: No. 44. The volume comes out at 22.7 Å³/atom. Its formation energy is 0.337 eV per atom. The value obtained for the energy is -0.865 hartree per atom.

a b c (Å): 5.6632 5.6632 5.6632
angles (deg): 137.95 130.84 66.65
Element x y z (fractional)
Y  0.0000  0.0000  0.0000
Y  0.7314  0.2314  0.5000
Mg  0.2598  0.7598  0.5000
Mo  0.4712  0.4712  0.0000

---

No. 3
Below is Y2MgMo at its PBEsol-relaxed geometry, with properties calculated at the SCAN level.

## Properties
Its size of the total moment is 0.56 μB per cell. As for the space-group type: No. 25. The volume comes out at 23.4 Å³/atom. Its formation energy is 0.372 eV per atom. The value obtained for the energy is -0.864 hartree per atom.

a b c (Å): 3.2456 3.8626 7.4560
angles (deg): 90.00 90.00 90.00
Element x y z (fractional)
Y  0.0000  0.0000  0.0000
Y  0.5000  0.5000  0.3439
Mg  0.0000  0.0000  0.5928
Mo  0.5000  0.5000  0.7648

---

No. 4
Below is YMgMo at its PBEsol-relaxed geometry, with properties calculated at the SCAN level.

## Properties
Its size of the total moment is 0.00 μB per cell. As for the space-group type: No. 156. The volume comes out at 20.4 Å³/atom. Its formation energy is 0.442 eV per atom. The value obtained for the energy is -0.813 hartree per atom.

a b c (Å): 4.9449 4.9449 2.8916
angles (deg): 90.00 90.00 120.00
Element x y z (fractional)
Y  0.0000  0.0000  0.0000
Mg  0.3333  0.6667  0.5701
Mo  0.6667  0.3333  0.4482

---

No. 5
Below is YMgMo3 at its PBEsol-relaxed geometry, with properties calculated at the SCAN level.

## Properties
Its size of the total moment is 3.70 μB per cell. As for the space-group type: No. 221. The volume comes out at 20.3 Å³/atom. Its formation energy is 1.771 eV per atom. The value obtained for the energy is -0.945 hartree per atom.

a b c (Å): 4.6678 4.6678 4.6678
angles (deg): 90.00 90.00 90.00
Element x y z (fractional)
Y  0.0000  0.0000  0.0000
Mg  0.5000  0.5000  0.5000
Mo  0.0000  0.5000  0.5000
Mo  0.5000  0.0000  0.5000
Mo  0.5000  0.5000  0.0000

---

No. 6
Below is Y2MgMo at its PBEsol-relaxed geometry, with properties calculated at the SCAN level.

## Properties
Its size of the total moment is 0.93 μB per cell. As for the space-group type: No. 8. The volume comes out at 23.4 Å³/atom. Its formation energy is 0.331 eV per atom. The value obtained for the energy is -0.866 hartree per atom.

a b c (Å): 5.9023 5.9023 5.3718
angles (deg): 108.17 108.17 31.85
Element x y z (fractional)
Y  0.0000  0.0000  0.0000
Y  0.2073  0.2073  0.6459
Mg  0.4395  0.4395  0.4497
Mo  0.7382  0.7382  0.1469

---

No. 7
Below is Y2MgMo2 at its PBEsol-relaxed geometry, with properties calculated at the SCAN level.

## Properties
Its size of the total moment is 0.41 μB per cell. As for the space-group type: No. 139. The volume comes out at 24.9 Å³/atom. Its formation energy is 0.383 eV per atom. The value obtained for the energy is -0.945 hartree per atom.

a b c (Å): 10.1603 10.1603 10.1603
angles (deg): 159.84 159.84 28.66
Element x y z (fractional)
Y  0.1220  0.1220  0.0000
Y  0.8780  0.8780  0.0000
Mg  0.5000  0.5000  0.0000
Mo  0.2500  0.7500  0.5000
Mo  0.7500  0.2500  0.5000

---

No. 8
Below is MgZn3Mo at its PBEsol-relaxed geometry, with properties calculated at the SCAN level.

## Properties
Its size of the total moment is 2.99 μB per cell. As for the space-group type: No. 221. The volume comes out at 18.4 Å³/atom. Its formation energy is 1.302 eV per atom. The value obtained for the energy is -0.543 hartree per atom.

a b c (Å): 4.5112 4.5112 4.5112
angles (deg): 90.00 90.00 90.00
Element x y z (fractional)
Mg  0.0000  0.0000  0.0000
Zn  0.0000  0.0000  0.5000
Zn  0.0000  0.5000  0.0000
Zn  0.5000  0.0000  0.0000
Mo  0.5000  0.5000  0.5000